Below is a relaxed structure of CuRuS2Cl, with properties calculated at the PBEsol level.

Results
raw formation energy = 486 meV per atom
spin magnetization = 0.0 μB per cell
space group = P4/mmm, No. 123
uncorrected energy = -4.570 eV per atom

a b c (Å): 4.443 4.443 4.919
angles (deg): 90.00 90.00 90.00
Atoms (fractional coordinates):
Cu: 0.000 0.000 0.000
Ru: 0.500 0.500 0.500
S: 0.000 0.500 0.500
S: 0.500 0.000 0.500
Cl: 0.500 0.500 0.000

---

Below is a relaxed structure of CuRuSCl2, with properties calculated at the PBEsol level.

Results
raw formation energy = 761 meV per atom
spin magnetization = 3.8 μB per cell
space group = P4/mmm, No. 123
uncorrected energy = -3.820 eV per atom

a b c (Å): 4.489 4.489 4.635
angles (deg): 90.00 90.00 90.00
Atoms (fractional coordinates):
Cu: 0.000 0.000 0.000
Ru: 0.500 0.500 0.500
S: 0.000 0.000 0.500
Cl: 0.000 0.500 0.000
Cl: 0.500 0.000 0.000

---

Below is a relaxed structure of Cu2SCl, with properties calculated at the PBEsol level.

Results
raw formation energy = -315 meV per atom
spin magnetization = 0.0 μB per cell
space group = I-42d, No. 122
uncorrected energy = -4.080 eV per atom

a b c (Å): 6.415 6.415 6.415
angles (deg): 131.83 131.83 70.49
Atoms (fractional coordinates):
Cu: 0.094 0.625 0.969
Cu: 0.375 0.344 0.469
Cu: 0.656 0.125 0.031
Cu: 0.875 0.906 0.531
S: 0.000 0.000 0.000
S: 0.750 0.250 0.500
Cl: 0.250 0.750 0.500
Cl: 0.500 0.500 0.000

---

Below is a relaxed structure of Cu3SCl, with properties calculated at the PBEsol level.

Results
raw formation energy = 575 meV per atom
spin magnetization = 0.0 μB per cell
space group = Pm-3m, No. 221
uncorrected energy = -3.304 eV per atom

a b c (Å): 4.326 4.326 4.326
angles (deg): 90.00 90.00 90.00
Atoms (fractional coordinates):
Cu: 0.000 0.000 0.500
Cu: 0.000 0.500 0.000
Cu: 0.500 0.000 0.000
S: 0.500 0.500 0.500
Cl: 0.000 0.000 0.000

---

Below is a relaxed structure of ScCuSCl2, with properties calculated at the PBEsol level.

Results
raw formation energy = -754 meV per atom
spin magnetization = 0.0 μB per cell
space group = P4/mmm, No. 123
uncorrected energy = -4.621 eV per atom

a b c (Å): 4.808 4.808 4.982
angles (deg): 90.00 90.00 90.00
Atoms (fractional coordinates):
Sc: 0.000 0.000 0.000
Cu: 0.500 0.500 0.500
S: 0.000 0.000 0.500
Cl: 0.000 0.500 0.000
Cl: 0.500 0.000 0.000

---

Below is a relaxed structure of CuTeSCl, with properties calculated at the PBEsol level.

Results
raw formation energy = -280 meV per atom
spin magnetization = 0.0 μB per cell
space group = P2_1/c, No. 14
uncorrected energy = -3.843 eV per atom

a b c (Å): 7.713 4.761 11.538
angles (deg): 90.00 116.63 90.00
Atoms (fractional coordinates):
Cu: 0.184 0.135 0.251
Cu: 0.184 0.365 0.751
Cu: 0.816 0.635 0.249
Cu: 0.816 0.865 0.749
Te: 0.281 0.505 0.138
Te: 0.281 0.995 0.638
Te: 0.719 0.005 0.362
Te: 0.719 0.495 0.862
S: 0.416 0.686 0.838
S: 0.416 0.814 0.338
S: 0.584 0.186 0.662
S: 0.584 0.314 0.162
Cl: 0.079 0.146 0.883
Cl: 0.079 0.354 0.383
Cl: 0.921 0.646 0.617
Cl: 0.921 0.854 0.117

---

Below is a relaxed structure of TiCuSCl2, with properties calculated at the PBEsol level.

Results
raw formation energy = -448 meV per atom
spin magnetization = 0.0 μB per cell
space group = P4/mmm, No. 123
uncorrected energy = -4.659 eV per atom

a b c (Å): 4.649 4.649 4.707
angles (deg): 90.00 90.00 90.00
Atoms (fractional coordinates):
Ti: 0.000 0.000 0.000
Cu: 0.500 0.500 0.500
S: 0.000 0.000 0.500
Cl: 0.000 0.500 0.000
Cl: 0.500 0.000 0.000

---

Below is a relaxed structure of YCuS2Cl, with properties calculated at the PBEsol level.

Results
raw formation energy = -348 meV per atom
spin magnetization = 0.0 μB per cell
space group = P4/mmm, No. 123
uncorrected energy = -4.735 eV per atom

a b c (Å): 5.168 5.168 5.091
angles (deg): 90.00 90.00 90.00
Atoms (fractional coordinates):
Y: 0.000 0.000 0.000
Cu: 0.500 0.500 0.500
S: 0.000 0.500 0.000
S: 0.500 0.000 0.000
Cl: 0.000 0.000 0.500